## VWO2F (GGA+U)

Data for a relaxed VWO2F crystal.

Cell lengths 3.9972, 3.9972, 3.9341 Å; angles 90.00, 90.00, 90.00 degrees
Space group P4/mmm (No. 123)
Asymmetric unit:
V 0.0000 0.0000 0.0000 (multiplicity 1)
W 0.5000 0.5000 0.5000 (multiplicity 1)
O 0.0000 0.5000 0.0000 (multiplicity 2)
F 0.0000 0.0000 0.5000 (multiplicity 1)

## Properties
uncorrected energy: -6.346 eV per atom